Record 1
DFT (PBE-GGA) results for HoTeClO3 after structural relaxation.

Summary:
Crystal system   orthorhombic
Size of the total moment   0.00 μB/f.u.
Total DFT energy (no corrections)   -6.226 eV per atom

a = 7.018 Å, b = 7.409 Å, c = 9.117 Å
α = 90.00°, β = 90.00°, γ = 90.00°
Positions (direct):
Cl (0.250, 0.430, 0.687)
Cl (0.750, 0.070, 0.187)
Cl (0.750, 0.570, 0.313)
Cl (0.250, 0.930, 0.813)
Ho (0.250, 0.093, 0.537)
Ho (0.750, 0.407, 0.037)
Ho (0.750, 0.907, 0.463)
Ho (0.250, 0.593, 0.963)
O (0.250, 0.242, 0.331)
O (0.750, 0.258, 0.831)
O (0.750, 0.758, 0.669)
O (0.250, 0.742, 0.169)
O (0.066, 0.357, 0.065)
O (0.934, 0.143, 0.565)
O (0.566, 0.643, 0.935)
O (0.434, 0.857, 0.435)
O (0.934, 0.643, 0.935)
O (0.066, 0.857, 0.435)
O (0.434, 0.357, 0.065)
O (0.566, 0.143, 0.565)
Te (0.250, 0.185, 0.131)
Te (0.750, 0.315, 0.631)
Te (0.750, 0.815, 0.869)
Te (0.250, 0.685, 0.369)


Record 2
DFT (PBE-GGA) results for HoTiClO3 after structural relaxation.

Summary:
Crystal system   monoclinic
Size of the total moment   0.00 μB/f.u.
Total DFT energy (no corrections)   -7.957 eV per atom

a = 5.315 Å, b = 5.315 Å, c = 9.823 Å
α = 74.96°, β = 74.96°, γ = 43.02°
Positions (direct):
Ho (0.273, 0.273, 0.206)
Ho (0.727, 0.727, 0.794)
Ti (0.881, 0.881, 0.428)
Ti (0.119, 0.119, 0.572)
Cl (0.615, 0.615, 0.093)
Cl (0.385, 0.385, 0.907)
O (0.848, 0.848, 0.249)
O (0.152, 0.152, 0.751)
O (0.670, 0.670, 0.566)
O (0.330, 0.330, 0.434)
O (0.924, 0.924, 0.625)
O (0.076, 0.076, 0.375)